Record 1
The following is a DFT calculation (PBE) of a geometry-optimized SnBi2Pd2 structure.

Summary:
Offset from the most stable computed form ... 0.207 eV/atom
E_form ... -1.45 kcal/mol of atoms
Size of the total moment ... 0.00 μB/cell

abc: 3.9887 3.9887 15.7146
angles: 90.00 90.00 90.00
Closest atoms and distances in Å follow each position.
Space group I4/mmm (No. 139)
One atom of each set of equivalent atoms:
Sn: 0.0000 0.0000 0.0000 (multiplicity 2)  8 Bi 3.41
Bi: 0.0000 0.0000 0.3775 (multiplicity 4)  4 Pd 2.83
Pd: 0.0000 0.5000 0.2500 (multiplicity 4)  4 Pd 2.82, 4 Bi 2.83



Record 2
The following is a DFT calculation (PBE) of a geometry-optimized PmNdHoEr3 structure.

Summary:
E_form ... 4.45 kcal/mol of atoms
Size of the total moment ... 0.00 μB/cell

abc: 19.2659 5.6461 7.1579
angles: 90.00 90.24 90.00
Closest atoms and distances in Å follow each position.
Space group C2/m (No. 12)
One atom of each set of equivalent atoms:
Pm: 0.1475 0.0000 0.0357 (multiplicity 4)  1 Ho 3.03, 2 Er 3.16-3.28
Nd: 0.0487 0.5000 0.2577 (multiplicity 4)  3 Er 3.15-3.30
Ho: 0.1497 0.0000 0.4583 (multiplicity 4)  1 Pm 3.03, 2 Er 3.17-3.27
Er: 0.0240 0.0000 0.7433 (multiplicity 4)  2 Nd 3.15, 1 Pm 3.16, 1 Ho 3.17
Er: 0.1672 0.5000 0.7408 (multiplicity 4)  3 Ho 3.49-3.81, 3 Pm 3.55-3.91, 4 Er 3.57-3.77
Er: 0.2197 0.5000 0.2490 (multiplicity 4)  3 Ho 3.27-3.47, 3 Pm 3.28-3.50, 1 Nd 3.30, 2 Er 3.57



Record 3
The following is a DFT calculation (PBE) of a geometry-optimized Zr2TcSe structure.

Summary:
E_form (uncorrected) ... -0.48 eV per atom
Size of the total moment ... 0.00 μB/cell

abc: 4.7481 3.3445 4.7619
angles: 90.00 101.68 90.00
Closest atoms and distances in Å follow each position.
Space group P2/m (No. 10)
One atom of each set of equivalent atoms:
Zr: 0.0000 0.0000 0.0000 (multiplicity 1)  4 Se 2.90, 4 Tc 2.91, 2 Zr 3.00
Zr: 0.5000 0.0000 0.5000 (multiplicity 1)  4 Tc 2.90, 4 Se 2.91, 2 Zr 3.00
Tc: 0.0000 0.5000 0.5000 (multiplicity 1)  8 Zr 2.90-2.91, 2 Se 3.00
Se: 0.5000 0.5000 0.0000 (multiplicity 1)  8 Zr 2.90-2.91, 2 Tc 3.00



Record 4
The following is a DFT calculation (PBE) of a geometry-optimized Pm7Dy16Th6 structure.

Summary:
E_form ... 7.46 kcal/mol of atoms
Size of the total moment ... 0.01 μB/cell

abc: 15.7206 15.7206 15.7206
angles: 90.00 90.00 90.00
Closest atoms and distances in Å follow each position.
Space group Fm-3m (No. 225)
One atom of each set of equivalent atoms:
Pm: 0.0000 0.0000 0.0000 (multiplicity 4)  8 Dy 3.30
Pm: 0.0000 0.2500 0.2500 (multiplicity 24)  8 Dy 3.22-3.44
Dy: 0.1211 0.1211 0.1211 (multiplicity 32)  4 Pm 3.30-3.44, 3 Dy 3.57
Dy: 0.1580 0.1580 0.3420 (multiplicity 32)  3 Pm 3.22, 3 Th 3.52, 3 Dy 3.57
Th: 0.0000 0.0000 0.3308 (multiplicity 24)  4 Dy 3.52, 4 Th 3.76



Record 5
The following is a DFT calculation (PBE) of a geometry-optimized LiBeB2Te structure.

Summary:
E_form (uncorrected) ... 0.91 eV per atom
Size of the total moment ... 0.00 μB/cell

abc: 3.7082 3.7082 5.6057
angles: 90.00 90.00 90.00
Closest atoms and distances in Å follow each position.
Space group P4/mmm (No. 123)
One atom of each set of equivalent atoms:
Li: 0.0000 0.0000 0.0000 (multiplicity 1)  4 Te 2.62
Be: 0.5000 0.5000 0.5000 (multiplicity 1)  4 B 1.85
B: 0.0000 0.5000 0.5000 (multiplicity 2)  2 Be 1.85
Te: 0.5000 0.5000 0.0000 (multiplicity 1)  4 Li 2.62, 2 Be 2.80



Record 6
The following is a DFT calculation (PBE) of a geometry-optimized Tm3S3N structure.

Summary:
E_form (uncorrected) ... -2.00 eV per atom
Size of the total moment ... 0.00 μB/cell

abc: 11.7949 3.7501 12.8578
angles: 90.00 90.00 90.00
Closest atoms and distances in Å follow each position.
Space group Pnma (No. 62)
One atom of each set of equivalent atoms:
Tm: 0.0502 0.2500 0.1391 (multiplicity 4)  2 N 2.24
Tm: 0.0596 0.2500 0.6340 (multiplicity 4)  1 N 2.15
Tm: 0.2075 0.2500 0.8564 (multiplicity 4)  1 N 2.23
S: 0.0973 0.2500 0.4062 (multiplicity 4)  3 Tm 2.68-2.96
S: 0.1324 0.7500 0.9887 (multiplicity 4)  5 Tm 2.68-2.86
S: 0.2225 0.7500 0.6913 (multiplicity 4)  5 Tm 2.76-2.84
N: 0.0293 0.2500 0.7986 (multiplicity 4)  4 Tm 2.15-2.24



Record 7
The following is a DFT calculation (PBE) of a geometry-optimized Ce2NdHo3Se6 structure.

Summary:
E_form (uncorrected) ... -1.79 eV per atom
Size of the total moment ... 3.93 μB/cell

abc: 7.0945 12.3062 7.2635
angles: 90.00 109.03 90.00
Closest atoms and distances in Å follow each position.
Space group C2/m (No. 12)
One atom of each set of equivalent atoms:
Ce: 0.0000 0.1666 0.0000 (multiplicity 4)  6 Se 2.97-2.98
Nd: 0.0000 0.5000 0.0000 (multiplicity 2)  6 Se 2.99-3.00
Ho: 0.0000 0.0000 0.5000 (multiplicity 2)  6 Se 2.86-2.87
Ho: 0.0000 0.3364 0.5000 (multiplicity 4)  6 Se 2.85-2.88
Se: 0.2439 0.1677 0.7348 (multiplicity 8)  3 Ho 2.87-2.88, 2 Ce 2.98, 1 Nd 3.00
Se: 0.2480 0.5000 0.7374 (multiplicity 4)  3 Ho 2.85-2.86, 2 Ce 2.97, 1 Nd 2.99



Record 8
The following is a DFT calculation (PBE) of a geometry-optimized TiGaTc4 structure.

Summary:
E_form ... -7.26 kcal/mol of atoms
Size of the total moment ... 0.00 μB/cell

abc: 10.0033 3.0752 5.9696
angles: 90.00 107.51 90.00
Closest atoms and distances in Å follow each position.
Space group C2/m (No. 12)
One atom of each set of equivalent atoms:
Ti: 0.0000 0.0000 0.0000 (multiplicity 2)  8 Tc 2.68-2.69, 2 Ga 2.98
Ga: 0.0000 0.0000 0.5000 (multiplicity 2)  8 Tc 2.67, 2 Ti 2.98
Tc: 0.1676 0.5000 0.3355 (multiplicity 4)  4 Tc 2.64-2.66, 2 Ga 2.67, 2 Ti 2.68
Tc: 0.1687 0.5000 0.8333 (multiplicity 4)  5 Tc 2.65-2.97, 2 Ga 2.67, 2 Ti 2.69



Record 9
The following is a DFT calculation (PBE) of a geometry-optimized Dy3TlCd2 structure.

Summary:
Offset from the most stable computed form ... 0.006 eV/atom
E_form ... -7.52 kcal/mol of atoms
Size of the total moment ... 0.00 μB/cell

abc: 3.7605 3.7605 11.2700
angles: 90.00 90.00 90.00
Closest atoms and distances in Å follow each position.
Space group P4/mmm (No. 123)
One atom of each set of equivalent atoms:
Dy: 0.0000 0.0000 0.0000 (multiplicity 1)  8 Cd 3.22
Dy: 0.0000 0.0000 0.3283 (multiplicity 2)  4 Cd 3.26, 4 Tl 3.29
Tl: 0.5000 0.5000 0.5000 (multiplicity 1)  8 Dy 3.29
Cd: 0.5000 0.5000 0.1613 (multiplicity 2)  8 Dy 3.22-3.26



Record 10
The following is a DFT calculation (PBE) of a geometry-optimized Cu2AgSe2 structure.

Summary:
Offset from the most stable computed form ... 0.002 eV/atom
E_form (uncorrected) ... -0.04 eV per atom
Size of the total moment ... 0.00 μB/cell

abc: 8.4636 9.0132 6.1660
angles: 90.00 121.84 90.00
Closest atoms and distances in Å follow each position.
Space group C2/c (No. 15)
One atom of each set of equivalent atoms:
Cu: 0.1635 0.1563 0.0608 (multiplicity 8)  4 Se 2.44-2.51, 1 Cu 2.59
Ag: 0.0000 0.3434 0.2500 (multiplicity 4)  2 Se 2.63-2.66, 2 Cu 2.80
Se: 0.0000 0.0481 0.2500 (multiplicity 4)  4 Cu 2.44-2.49, 1 Ag 2.66
Se: 0.0000 0.3648 0.7500 (multiplicity 4)  4 Cu 2.45-2.51, 1 Ag 2.63



Record 11
The following is a DFT calculation (PBE) of a geometry-optimized Ce2MgAg3 structure.

Summary:
E_form ... -2.37 kcal/mol of atoms
Size of the total moment ... 6.64 μB/cell

abc: 6.0292 6.0292 13.0115
angles: 90.00 90.00 120.00
Closest atoms and distances in Å follow each position.
Space group R-3m (No. 166, hexagonal axes)
One atom of each set of equivalent atoms:
Ce: 0.0000 0.0000 0.1123 (multiplicity 6)  1 Ce 2.92
Mg: 0.0000 0.0000 0.5000 (multiplicity 3)  6 Ag 2.78
Ag: 0.0000 0.5000 0.0000 (multiplicity 9)  2 Mg 2.78, 4 Ag 3.01



Record 12
The following is a DFT calculation (PBE) of a geometry-optimized Cr2TeRh structure.

Summary:
E_form (uncorrected) ... 0.21 eV per atom
Size of the total moment ... 4.71 μB/cell

abc: 3.9409 3.9409 3.9330
angles: 90.00 90.00 90.00
Closest atoms and distances in Å follow each position.
Space group P4/mmm (No. 123)
One atom of each set of equivalent atoms:
Cr: 0.0000 0.5000 0.0000 (multiplicity 2)  4 Te 2.78, 4 Rh 2.78, 4 Cr 2.79
Te: 0.0000 0.0000 0.5000 (multiplicity 1)  8 Cr 2.78, 4 Rh 2.79
Rh: 0.5000 0.5000 0.5000 (multiplicity 1)  8 Cr 2.78, 4 Te 2.79



Record 13
The following is a DFT calculation (PBE) of a geometry-optimized KBaF structure.

Summary:
Offset from the most stable computed form ... 0.099 eV/atom
E_form (uncorrected) ... -1.76 eV per atom
Size of the total moment ... 0.00 μB/cell

abc: 4.5089 4.5089 8.4071
angles: 90.00 90.00 120.00
Closest atoms and distances in Å follow each position.
Space group P-6m2 (No. 187)
One atom of each set of equivalent atoms:
K: 0.0000 0.0000 0.0000 (multiplicity 1)  6 K 4.51, 6 F 4.94, 6 Ba 4.94
Ba: 0.6667 0.3333 0.5000 (multiplicity 1)  3 F 2.60
F: 0.3333 0.6667 0.5000 (multiplicity 1)  3 Ba 2.60



Record 14
The following is a DFT calculation (PBE) of a geometry-optimized Cs2K3Rb5 structure.

Summary:
E_form ... 1.17 kcal/mol of atoms
Size of the total moment ... 0.00 μB/cell

abc: 18.4257 22.6560 9.2020
angles: 90.00 90.00 90.00
Closest atoms and distances in Å follow each position.
Space group Ibam (No. 72)
One atom of each set of equivalent atoms:
Cs: 0.1403 0.2235 0.0000 (multiplicity 8)  4 K 4.91-5.22, 4 Rb 5.06-5.41
K: 0.0000 0.5000 0.2500 (multiplicity 4)  6 Rb 4.46-4.57, 2 K 4.60
K: 0.1276 0.1483 0.5000 (multiplicity 8)  5 Rb 4.45-4.73, 2 Cs 4.91
Rb: 0.0000 0.0000 0.2500 (multiplicity 4)  4 Rb 4.60-4.75, 4 K 4.70
Rb: 0.0922 0.3425 0.5000 (multiplicity 8)  3 K 4.45-4.57
Rb: 0.2422 0.5000 0.2500 (multiplicity 8)  3 K 4.46-4.73, 3 Rb 4.60-4.75



Record 15
The following is a DFT calculation (PBE) of a geometry-optimized MnZnCl4 structure.

Summary:
Offset from the most stable computed form ... 0.164 eV/atom
E_form (uncorrected) ... -0.91 eV per atom
Size of the total moment ... 10.00 μB/cell

abc: 6.9549 6.9549 9.0393
angles: 90.00 90.00 90.00
Closest atoms and distances in Å follow each position.
Space group P4_2/mmc (No. 131)
One atom of each set of equivalent atoms:
Mn: 0.0000 0.0000 0.0000 (multiplicity 2)  4 Cl 2.41
Zn: 0.0000 0.5000 0.0000 (multiplicity 2)  4 Cl 2.36
Cl: 0.2346 0.2547 0.0000 (multiplicity 8)  1 Zn 2.36, 1 Mn 2.41



Record 16
The following is a DFT calculation (PBE) of a geometry-optimized LaMgSCl2 structure.

Summary:
Offset from the most stable computed form ... 0.167 eV/atom
E_form (uncorrected) ... -1.33 eV per atom
Size of the total moment ... 0.85 μB/cell

abc: 5.5702 5.5702 5.5561
angles: 90.00 90.00 90.00
Closest atoms and distances in Å follow each position.
Space group P4/mmm (No. 123)
One atom of each set of equivalent atoms:
La: 0.0000 0.0000 0.0000 (multiplicity 1)  2 S 2.78, 4 Cl 2.79
Mg: 0.5000 0.5000 0.5000 (multiplicity 1)  8 Cl 3.93, 4 S 3.94
S: 0.0000 0.0000 0.5000 (multiplicity 1)  2 La 2.78
Cl: 0.0000 0.5000 0.0000 (multiplicity 2)  2 La 2.79



Record 17
The following is a DFT calculation (PBE) of a geometry-optimized TaRuN structure.

Summary:
Offset from the most stable computed form ... 0.056 eV/atom
E_form (uncorrected) ... -0.48 eV per atom
Size of the total moment ... 0.00 μB/cell

abc: 2.9832 2.9832 17.4959
angles: 90.00 90.00 90.00
Closest atoms and distances in Å follow each position.
Space group I4/mmm (No. 139)
One atom of each set of equivalent atoms:
Ta: 0.0000 0.0000 0.1708 (multiplicity 4)  5 N 2.16-2.29
Ru: 0.0000 0.0000 0.4335 (multiplicity 4)  1 N 2.31, 1 Ru 2.33
N: 0.0000 0.0000 0.3015 (multiplicity 4)  5 Ta 2.16-2.29, 1 Ru 2.31



Record 18
The following is a DFT calculation (PBE) of a geometry-optimized MgCdAg2 structure.

Summary:
E_form ... -3.77 kcal/mol of atoms
Size of the total moment ... 0.00 μB/cell

abc: 6.7093 6.7093 6.7093
angles: 90.00 90.00 90.00
Closest atoms and distances in Å follow each position.
Space group Fm-3m (No. 225)
One atom of each set of equivalent atoms:
Mg: 0.0000 0.0000 0.0000 (multiplicity 4)  8 Ag 2.91
Cd: 0.0000 0.0000 0.5000 (multiplicity 4)  8 Ag 2.91
Ag: 0.2500 0.2500 0.2500 (multiplicity 8)  4 Cd 2.91, 4 Mg 2.91



Record 19
The following is a DFT calculation (PBE) of a geometry-optimized AlSbAs structure.

Summary:
E_form (uncorrected) ... -0.10 eV per atom
Size of the total moment ... 0.00 μB/cell

abc: 6.7233 4.4493 10.8879
angles: 90.00 95.00 90.00
Closest atoms and distances in Å follow each position.
Space group Cm (No. 8)
One atom of each set of equivalent atoms:
Al: 0.0000 0.0000 0.0000 (multiplicity 2)  4 As 2.49-2.68
Al: 0.0262 0.5000 0.1738 (multiplicity 2)  4 As 2.49-2.67
Sb: 0.0422 0.5000 0.5058 (multiplicity 2)  3 Sb 2.85-2.92
Sb: 0.4136 0.5000 0.6542 (multiplicity 2)  3 Sb 2.85-2.92
As: 0.1308 0.5000 0.9425 (multiplicity 2)  4 Al 2.49-2.67
As: 0.1734 0.0000 0.2314 (multiplicity 2)  4 Al 2.49-2.68



Record 20
The following is a DFT calculation (PBE) of a geometry-optimized Ho2Si7Ru12 structure.

Summary:
E_form (uncorrected) ... -0.59 eV per atom
Size of the total moment ... 0.00 μB/cell

abc: 9.5977 9.5977 3.9344
angles: 90.00 90.00 120.00
Closest atoms and distances in Å follow each position.
Space group P-6 (No. 174)
One atom of each set of equivalent atoms:
Ho: 0.0000 0.0000 0.0000 (multiplicity 1)  6 Si 3.10, 12 Ru 3.21-3.38
Ho: 0.3333 0.6667 0.5000 (multiplicity 1)  6 Si 3.04, 9 Ru 3.17-3.29
Si: 0.0738 0.6238 0.0000 (multiplicity 3)  5 Ru 2.36-2.46
Si: 0.2677 0.0423 0.5000 (multiplicity 3)  7 Ru 2.43-2.50
Si: 0.6667 0.3333 0.0000 (multiplicity 1)  3 Ru 2.30
Ru: 0.0501 0.7649 0.5000 (multiplicity 3)  4 Si 2.43-2.50
Ru: 0.0976 0.3902 0.0000 (multiplicity 3)  4 Si 2.36-2.46, 1 Ru 2.62
Ru: 0.3900 0.2102 0.0000 (multiplicity 3)  4 Si 2.30-2.44
Ru: 0.5549 0.1244 0.5000 (multiplicity 3)  5 Si 2.46-2.72